Material: CrCo2Sb
Method: DFT, PBE
State: optimized geometry

Results
ΔE_f (raw) = 254 meV/atom
Space group = Pmmm, No. 47
Mass density = 8.94 Mg/m³

Cell lengths 2.917, 3.441, 5.396 Å; angles 90.00, 90.00, 90.00 degrees
Sites, in units of the cell vectors:
Cr  0.000  0.000  0.000
Co  0.500  0.500  0.225
Co  0.500  0.500  0.775
Sb  0.000  0.000  0.500

Material: CrCoSb
Method: DFT, PBE
State: optimized geometry

Results
ΔE_f (raw) = 559 meV/atom
Space group = P3m1, No. 156
Mass density = 8.12 Mg/m³

Cell lengths 3.057, 3.057, 5.880 Å; angles 90.00, 90.00, 120.00 degrees
Sites, in units of the cell vectors:
Cr  0.000  0.000  0.000
Co  0.333  0.667  0.728
Sb  0.667  0.333  0.372